Record 1
This record from Alexandria describes crystalline HfV2Ir2 at its relaxed geometry. The functional is PBE.

Cell lengths 4.060, 4.060, 10.414 Å; angles 90.00, 90.00, 90.00 degrees
Positions (direct):
Hf  0.000  0.000  0.000
Hf  0.500  0.500  0.500
V  0.000  0.500  0.250
V  0.000  0.500  0.750
V  0.500  0.000  0.250
V  0.500  0.000  0.750
Ir  0.000  0.000  0.379
Ir  0.000  0.000  0.621
Ir  0.500  0.500  0.121
Ir  0.500  0.500  0.879

Values from the calculation:
M_tot (μB/cell): 0.00
Calculated formation energy (meV/atom): -392
Energy above the lowest structure with this stoichiometry (kcal/mol of atoms): 0.28
Crystal system: tetragonal
Calculated density (g/cm3): 12.9


Record 2
This record from Alexandria describes crystalline HfIr2W at its relaxed geometry. The functional is PBE.

Cell lengths 6.432, 6.432, 6.432 Å; angles 90.00, 90.00, 90.00 degrees
Positions (direct):
Hf  0.000  0.000  0.000
Hf  0.000  0.500  0.500
Hf  0.500  0.000  0.500
Hf  0.500  0.500  0.000
Ir  0.250  0.250  0.250
Ir  0.250  0.250  0.750
Ir  0.250  0.750  0.250
Ir  0.250  0.750  0.750
Ir  0.750  0.250  0.250
Ir  0.750  0.250  0.750
Ir  0.750  0.750  0.250
Ir  0.750  0.750  0.750
W  0.000  0.000  0.500
W  0.000  0.500  0.000
W  0.500  0.000  0.000
W  0.500  0.500  0.500

Values from the calculation:
M_tot (μB/cell): 0.00
Calculated formation energy (meV/atom): -172
Energy above the lowest structure with this stoichiometry (kcal/mol of atoms): 6.42
Crystal system: cubic
Calculated density (g/cm3): 18.6


Record 3
This record from Alexandria describes crystalline HfIrW3 at its relaxed geometry. The functional is PBE.

Cell lengths 4.750, 4.750, 4.750 Å; angles 90.00, 90.00, 90.00 degrees
Positions (direct):
Hf  0.000  0.000  0.000
Ir  0.500  0.500  0.500
W  0.000  0.500  0.500
W  0.500  0.000  0.500
W  0.500  0.500  0.000

Values from the calculation:
M_tot (μB/cell): 0.00
Calculated formation energy (meV/atom): 1569
Energy above the lowest structure with this stoichiometry (kcal/mol of atoms): 0.00
Crystal system: cubic
Calculated density (g/cm3): 14.3


Record 4
This record from Alexandria describes crystalline Hf12Ir5W3 at its relaxed geometry. The functional is PBE.

Cell lengths 13.544, 13.544, 13.544 Å; angles 109.47, 109.47, 109.47 degrees
Positions (direct):
Hf  0.054  0.224  0.130
Hf  0.054  0.330  0.923
Hf  0.077  0.630  0.407
Hf  0.077  0.946  0.670
Hf  0.093  0.724  0.670
Hf  0.093  0.870  0.423
Hf  0.130  0.054  0.224
Hf  0.130  0.577  0.907
Hf  0.170  0.224  0.593
Hf  0.170  0.446  0.577
Hf  0.224  0.130  0.054
Hf  0.224  0.593  0.170
Hf  0.276  0.330  0.907
Hf  0.276  0.446  0.370
Hf  0.330  0.907  0.276
Hf  0.330  0.923  0.054
Hf  0.370  0.276  0.446
Hf  0.370  0.593  0.923
Hf  0.407  0.077  0.630
Hf  0.407  0.830  0.776
Hf  0.423  0.093  0.870
Hf  0.423  0.830  0.554
Hf  0.446  0.370  0.276
Hf  0.446  0.577  0.170
Hf  0.554  0.423  0.830
Hf  0.554  0.630  0.724
Hf  0.577  0.170  0.446
Hf  0.577  0.907  0.130
Hf  0.593  0.170  0.224
Hf  0.593  0.923  0.370
Hf  0.630  0.407  0.077
Hf  0.630  0.724  0.554
Hf  0.670  0.077  0.946
Hf  0.670  0.093  0.724
Hf  0.724  0.554  0.630
Hf  0.724  0.670  0.093
Hf  0.776  0.407  0.830
Hf  0.776  0.870  0.946
Hf  0.830  0.554  0.423
Hf  0.830  0.776  0.407
Hf  0.870  0.423  0.093
Hf  0.870  0.946  0.776
Hf  0.907  0.130  0.577
Hf  0.907  0.276  0.330
Hf  0.923  0.054  0.330
Hf  0.923  0.370  0.593
Hf  0.946  0.670  0.077
Hf  0.946  0.776  0.870
Ir  0.000  0.000  0.000
Ir  0.000  0.000  0.500
Ir  0.000  0.500  0.000
Ir  0.000  0.500  0.500
Ir  0.125  0.750  0.875
Ir  0.125  0.875  0.250
Ir  0.250  0.125  0.875
Ir  0.250  0.625  0.375
Ir  0.375  0.250  0.625
Ir  0.375  0.625  0.750
Ir  0.500  0.000  0.000
Ir  0.500  0.000  0.500
Ir  0.500  0.500  0.000
Ir  0.500  0.500  0.500
Ir  0.625  0.375  0.250
Ir  0.625  0.750  0.375
Ir  0.750  0.375  0.625
Ir  0.750  0.875  0.125
Ir  0.875  0.125  0.750
Ir  0.875  0.250  0.125
W  0.125  0.250  0.375
W  0.125  0.375  0.750
W  0.250  0.375  0.125
W  0.250  0.875  0.625
W  0.375  0.125  0.250
W  0.375  0.750  0.125
W  0.625  0.250  0.875
W  0.625  0.875  0.750
W  0.750  0.125  0.375
W  0.750  0.625  0.875
W  0.875  0.625  0.250
W  0.875  0.750  0.625

Values from the calculation:
M_tot (μB/cell): 0.00
Calculated formation energy (meV/atom): 278
Crystal system: cubic
Calculated density (g/cm3): 12.7


Record 5
This record from Alexandria describes crystalline Hf2IrW at its relaxed geometry. The functional is PBE.

Cell lengths 7.403, 7.403, 5.662 Å; angles 90.00, 90.00, 90.00 degrees
Positions (direct):
Hf  0.230  0.750  0.125
Hf  0.250  0.230  0.875
Hf  0.250  0.270  0.375
Hf  0.270  0.750  0.625
Hf  0.730  0.250  0.625
Hf  0.750  0.730  0.375
Hf  0.750  0.770  0.875
Hf  0.770  0.250  0.125
Ir  0.000  0.000  0.000
Ir  0.000  0.500  0.250
Ir  0.500  0.000  0.750
Ir  0.500  0.500  0.500
W  0.000  0.000  0.500
W  0.000  0.500  0.750
W  0.500  0.000  0.250
W  0.500  0.500  0.000

Values from the calculation:
M_tot (μB/cell): 0.00
Calculated formation energy (meV/atom): 250
Crystal system: tetragonal
Calculated density (g/cm3): 15.7


Record 6
This record from Alexandria describes crystalline Hf2IrW at its relaxed geometry. The functional is PBE.

Cell lengths 3.299, 3.299, 6.596 Å; angles 90.00, 90.00, 90.00 degrees
Positions (direct):
Hf  0.000  0.000  0.248
Hf  0.000  0.000  0.752
Ir  0.500  0.500  0.000
W  0.500  0.500  0.500

Values from the calculation:
M_tot (μB/cell): 0.00
Calculated formation energy (meV/atom): -490
Crystal system: tetragonal
Calculated density (g/cm3): 17.0


Record 7
This record from Alexandria describes crystalline HfIrW3 at its relaxed geometry. The functional is PBE.

Cell lengths 4.695, 4.695, 4.695 Å; angles 90.00, 90.00, 90.00 degrees
Positions (direct):
Hf  0.000  0.000  0.000
Ir  0.500  0.500  0.500
W  0.000  0.000  0.500
W  0.000  0.500  0.000
W  0.500  0.000  0.000

Values from the calculation:
M_tot (μB/cell): 0.00
Calculated formation energy (meV/atom): 2694
Energy above the lowest structure with this stoichiometry (kcal/mol of atoms): 25.94
Crystal system: cubic
Calculated density (g/cm3): 14.8


Record 8
This record from Alexandria describes crystalline HfIr2W at its relaxed geometry. The functional is PBE.

Cell lengths 4.088, 4.088, 3.877 Å; angles 90.00, 90.00, 90.00 degrees
Positions (direct):
Hf  0.000  0.000  0.000
Ir  0.000  0.500  0.500
Ir  0.500  0.000  0.500
W  0.500  0.500  0.000

Values from the calculation:
M_tot (μB/cell): 0.00
Calculated formation energy (meV/atom): -450
Energy above the lowest structure with this stoichiometry (kcal/mol of atoms): 0.00
Crystal system: tetragonal
Calculated density (g/cm3): 19.1


Record 9
This record from Alexandria describes crystalline HfIr2W at its relaxed geometry. The functional is PBE.

Cell lengths 4.165, 4.165, 17.205 Å; angles 90.00, 90.00, 90.00 degrees
Positions (direct):
Hf  0.000  0.000  0.000
Hf  0.000  0.500  0.250
Hf  0.500  0.000  0.750
Hf  0.500  0.500  0.500
Ir  0.230  0.250  0.625
Ir  0.250  0.730  0.875
Ir  0.250  0.770  0.375
Ir  0.270  0.250  0.125
Ir  0.730  0.750  0.125
Ir  0.750  0.230  0.375
Ir  0.750  0.270  0.875
Ir  0.770  0.750  0.625
W  0.000  0.000  0.500
W  0.000  0.500  0.750
W  0.500  0.000  0.250
W  0.500  0.500  0.000

Values from the calculation:
M_tot (μB/cell): 0.00
Calculated formation energy (meV/atom): 278
Energy above the lowest structure with this stoichiometry (kcal/mol of atoms): 16.80
Crystal system: tetragonal
Calculated density (g/cm3): 16.6


Record 10
This record from Alexandria describes crystalline YHf3Ir at its relaxed geometry. The functional is PBE.

Cell lengths 5.078, 5.078, 5.078 Å; angles 90.00, 90.00, 90.00 degrees
Positions (direct):
Y  0.000  0.000  0.000
Hf  0.000  0.500  0.500
Hf  0.500  0.000  0.500
Hf  0.500  0.500  0.000
Ir  0.500  0.500  0.500

Values from the calculation:
M_tot (μB/cell): 0.00
Calculated formation energy (meV/atom): 47
Energy above the lowest structure with this stoichiometry (kcal/mol of atoms): 0.00
Crystal system: cubic
Calculated density (g/cm3): 10.4


Record 11
This record from Alexandria describes crystalline YHf4Ir5 at its relaxed geometry. The functional is PBE.

Cell lengths 3.297, 3.297, 16.868 Å; angles 90.00, 90.00, 90.00 degrees
Positions (direct):
Y  0.000  0.000  0.000
Hf  0.000  0.000  0.208
Hf  0.000  0.000  0.403
Hf  0.000  0.000  0.597
Hf  0.000  0.000  0.792
Ir  0.500  0.500  0.123
Ir  0.500  0.500  0.311
Ir  0.500  0.500  0.500
Ir  0.500  0.500  0.689
Ir  0.500  0.500  0.877

Values from the calculation:
M_tot (μB/cell): 0.00
Calculated formation energy (meV/atom): -909
Crystal system: tetragonal
Calculated density (g/cm3): 16.0


Record 12
This record from Alexandria describes crystalline Y2HfIr2 at its relaxed geometry. The functional is PBE.

Cell lengths 7.059, 7.059, 4.415 Å; angles 90.00, 90.00, 90.00 degrees
Positions (direct):
Y  0.173  0.327  0.000
Y  0.327  0.827  0.000
Y  0.673  0.173  0.000
Y  0.827  0.673  0.000
Hf  0.000  0.000  0.500
Hf  0.500  0.500  0.500
Ir  0.137  0.637  0.500
Ir  0.363  0.137  0.500
Ir  0.637  0.863  0.500
Ir  0.863  0.363  0.500

Values from the calculation:
M_tot (μB/cell): 0.00
Calculated formation energy (meV/atom): -737
Crystal system: tetragonal
Calculated density (g/cm3): 11.2


Record 13
This record from Alexandria describes crystalline Y2Hf5Ir3 at its relaxed geometry. The functional is PBE.

Cell lengths 13.829, 13.829, 6.974 Å; angles 90.00, 90.00, 161.14 degrees
Positions (direct):
Y  0.022  0.978  0.500
Y  0.327  0.673  0.498
Y  0.673  0.327  0.998
Y  0.978  0.022  0.000
Hf  0.097  0.903  0.864
Hf  0.205  0.795  0.289
Hf  0.209  0.791  0.709
Hf  0.372  0.628  0.013
Hf  0.445  0.555  0.656
Hf  0.555  0.445  0.156
Hf  0.628  0.372  0.513
Hf  0.791  0.209  0.209
Hf  0.795  0.205  0.789
Hf  0.903  0.097  0.364
Ir  0.105  0.895  0.255
Ir  0.272  0.728  0.997
Ir  0.452  0.548  0.275
Ir  0.548  0.452  0.775
Ir  0.728  0.272  0.497
Ir  0.895  0.105  0.755

Values from the calculation:
M_tot (μB/cell): 0.00
Calculated formation energy (meV/atom): -666
Crystal system: orthorhombic
Calculated density (g/cm3): 12.7


Record 14
This record from Alexandria describes crystalline YHf2Ir at its relaxed geometry. The functional is PBE.

Cell lengths 6.839, 6.839, 6.839 Å; angles 90.00, 90.00, 90.00 degrees
Positions (direct):
Y  0.000  0.000  0.000
Y  0.000  0.500  0.500
Y  0.500  0.000  0.500
Y  0.500  0.500  0.000
Hf  0.250  0.250  0.250
Hf  0.250  0.250  0.750
Hf  0.250  0.750  0.250
Hf  0.250  0.750  0.750
Hf  0.750  0.250  0.250
Hf  0.750  0.250  0.750
Hf  0.750  0.750  0.250
Hf  0.750  0.750  0.750
Ir  0.000  0.000  0.500
Ir  0.000  0.500  0.000
Ir  0.500  0.000  0.000
Ir  0.500  0.500  0.500

Values from the calculation:
M_tot (μB/cell): 0.00
Calculated formation energy (meV/atom): -170
Energy above the lowest structure with this stoichiometry (kcal/mol of atoms): 1.08
Crystal system: cubic
Calculated density (g/cm3): 13.3


Record 15
This record from Alexandria describes crystalline YHfIr4 at its relaxed geometry. The functional is PBE.

Cell lengths 5.296, 5.296, 5.296 Å; angles 60.00, 60.00, 60.00 degrees
Positions (direct):
Y  0.000  0.000  0.000
Hf  0.750  0.750  0.750
Ir  0.375  0.375  0.375
Ir  0.375  0.375  0.875
Ir  0.375  0.875  0.375
Ir  0.875  0.375  0.375

Values from the calculation:
M_tot (μB/cell): 0.00
Calculated formation energy (meV/atom): -700
Crystal system: cubic
Calculated density (g/cm3): 16.4


Record 16
This record from Alexandria describes crystalline YHf3Ir at its relaxed geometry. The functional is PBE.

Cell lengths 4.957, 4.957, 4.957 Å; angles 90.00, 90.00, 90.00 degrees
Positions (direct):
Y  0.000  0.000  0.000
Hf  0.000  0.000  0.500
Hf  0.000  0.500  0.000
Hf  0.500  0.000  0.000
Ir  0.500  0.500  0.500

Values from the calculation:
M_tot (μB/cell): 0.00
Calculated formation energy (meV/atom): 1878
Energy above the lowest structure with this stoichiometry (kcal/mol of atoms): 42.22
Crystal system: cubic
Calculated density (g/cm3): 11.1


Record 17
This record from Alexandria describes crystalline YHf2Ir at its relaxed geometry. The functional is PBE.

Cell lengths 8.031, 8.031, 5.967 Å; angles 90.00, 90.00, 90.00 degrees
Positions (direct):
Y  0.000  0.000  0.000
Y  0.000  0.500  0.250
Y  0.500  0.000  0.750
Y  0.500  0.500  0.500
Hf  0.183  0.250  0.625
Hf  0.250  0.683  0.875
Hf  0.250  0.817  0.375
Hf  0.317  0.250  0.125
Hf  0.683  0.750  0.125
Hf  0.750  0.183  0.375
Hf  0.750  0.317  0.875
Hf  0.817  0.750  0.625
Ir  0.000  0.000  0.500
Ir  0.000  0.500  0.750
Ir  0.500  0.000  0.250
Ir  0.500  0.500  0.000

Values from the calculation:
M_tot (μB/cell): 0.00
Calculated formation energy (meV/atom): -217
Energy above the lowest structure with this stoichiometry (kcal/mol of atoms): 0.00
Crystal system: tetragonal
Calculated density (g/cm3): 11.0


Record 18
This record from Alexandria describes crystalline YHfZnIr at its relaxed geometry. The functional is PBE.

Cell lengths 6.785, 6.785, 6.785 Å; angles 90.00, 90.00, 90.00 degrees
Positions (direct):
Y  0.000  0.000  0.000
Y  0.000  0.500  0.500
Y  0.500  0.000  0.500
Y  0.500  0.500  0.000
Hf  0.000  0.000  0.500
Hf  0.000  0.500  0.000
Hf  0.500  0.000  0.000
Hf  0.500  0.500  0.500
Zn  0.250  0.250  0.250
Zn  0.250  0.750  0.750
Zn  0.750  0.250  0.750
Zn  0.750  0.750  0.250
Ir  0.250  0.250  0.750
Ir  0.250  0.750  0.250
Ir  0.750  0.250  0.250
Ir  0.750  0.750  0.750

Values from the calculation:
M_tot (μB/cell): 0.00
Calculated formation energy (meV/atom): -507
Crystal system: cubic
Calculated density (g/cm3): 11.2


Record 19
This record from Alexandria describes crystalline Hf5ZnIr6 at its relaxed geometry. The functional is PBE.

Cell lengths 7.770, 7.770, 7.770 Å; angles 147.53, 124.80, 65.52 degrees
Positions (direct):
Hf  0.000  0.000  0.000
Hf  0.170  0.670  0.500
Hf  0.344  0.344  0.000
Hf  0.656  0.656  0.000
Hf  0.830  0.330  0.500
Zn  0.500  0.000  0.500
Ir  0.083  0.833  0.250
Ir  0.244  0.500  0.744
Ir  0.417  0.167  0.250
Ir  0.583  0.833  0.750
Ir  0.756  0.500  0.256
Ir  0.917  0.167  0.750

Values from the calculation:
M_tot (μB/cell): 0.00
Calculated formation energy (meV/atom): -854
Crystal system: orthorhombic
Calculated density (g/cm3): 17.2


Record 20
This record from Alexandria describes crystalline Hf6Zn5Ir at its relaxed geometry. The functional is PBE.

Cell lengths 8.097, 8.097, 8.097 Å; angles 146.56, 131.98, 59.77 degrees
Positions (direct):
Hf  0.083  0.335  0.748
Hf  0.247  0.000  0.247
Hf  0.413  0.665  0.748
Hf  0.587  0.335  0.252
Hf  0.753  0.000  0.753
Hf  0.917  0.665  0.252
Zn  0.172  0.172  0.000
Zn  0.333  0.833  0.500
Zn  0.500  0.500  0.000
Zn  0.667  0.167  0.500
Zn  0.828  0.828  0.000
Ir  0.000  0.500  0.500

Values from the calculation:
M_tot (μB/cell): 0.00
Calculated formation energy (meV/atom): -313
Crystal system: orthorhombic
Calculated density (g/cm3): 12.3